Record 1
Compound: PuNp3S4
Source: the Alexandria database
Functional: GGA-PBE
Structure: relaxed

Lattice parameters (Å, degrees): 3.895 6.781 6.781 109.40 90.00 90.00
Last column: magnetic moment on the atom in μB.
Fractional coordinates of all 8 atoms:
Np1 0.000 0.000 0.500  3.75
Np2 0.500 0.500 0.500  -3.75
Np3 0.000 0.500 0.000  3.75
S1 0.000 0.249 0.249  -0.04
S2 0.500 0.752 0.248  -0.08
S3 0.000 0.751 0.751  -0.04
S4 0.500 0.248 0.752  -0.08
Pu1 0.500 0.000 0.000  5.14

Output
Density of states at the Fermi level (states/eV/cell): 27.91
Final energy (eV/atom): -10.15
Uncorrected formation energy (eV per atom): -1.44

***

Record 2
Compound: Pu2Np2S7
Source: the Alexandria database
Functional: GGA-PBE
Structure: relaxed

Lattice parameters (Å, degrees): 3.923 8.343 8.343 61.46 76.40 76.40
Last column: magnetic moment on the atom in μB.
Fractional coordinates of all 11 atoms:
Pu1 0.742 0.840 0.676  -4.91
Pu2 0.258 0.324 0.160  -4.91
Np1 0.000 0.789 0.211  -3.43
Np2 0.500 0.337 0.663  -3.48
S1 0.816 0.070 0.299  0.18
S2 0.867 0.411 0.856  0.16
S3 0.500 0.013 0.987  0.17
S4 0.609 0.503 0.279  0.15
S5 0.391 0.721 0.497  0.15
S6 0.184 0.701 0.930  0.18
S7 0.133 0.144 0.589  0.16

Output
Density of states at the Fermi level (states/eV/cell): 29.17
Energy above the most stable polymorph in this dataset (meV/atom): 0
Final energy (eV/atom): -9.06
Uncorrected formation energy (eV per atom): -1.47

***

What is the formula in the first record? PuNp3S4

***

uncorrected formation energy of number 2 (Pu2Np2S7)? -1.47 eV per atom

***

Repeat the second record exactly.
Compound: Pu2Np2S7
Source: the Alexandria database
Functional: GGA-PBE
Structure: relaxed

Lattice parameters (Å, degrees): 3.923 8.343 8.343 61.46 76.40 76.40
Last column: magnetic moment on the atom in μB.
Fractional coordinates of all 11 atoms:
Pu1 0.742 0.840 0.676  -4.91
Pu2 0.258 0.324 0.160  -4.91
Np1 0.000 0.789 0.211  -3.43
Np2 0.500 0.337 0.663  -3.48
S1 0.816 0.070 0.299  0.18
S2 0.867 0.411 0.856  0.16
S3 0.500 0.013 0.987  0.17
S4 0.609 0.503 0.279  0.15
S5 0.391 0.721 0.497  0.15
S6 0.184 0.701 0.930  0.18
S7 0.133 0.144 0.589  0.16

Output
Density of states at the Fermi level (states/eV/cell): 29.17
Energy above the most stable polymorph in this dataset (meV/atom): 0
Final energy (eV/atom): -9.06
Uncorrected formation energy (eV per atom): -1.47

***

Among the records above, which one has the highest uncorrected formation energy? PuNp3S4